1.
Below is an optimized crystal structure of Li2Cd, with properties calculated at the GGA-PBE level.

Values from the calculation:
- ΔE_f (eV/atom) = -0.1957
- space-group type = Pnma, No. 62

POSCAR file:
```
Li2Cd
1.0
5.716 0.000 0.000
0.000 4.514 0.000
0.000 0.000 8.541
Li Cd
8 4
Direct
0.083 0.250 0.241
0.149 0.250 0.910
0.351 0.750 0.410
0.417 0.750 0.741
0.583 0.250 0.259
0.649 0.250 0.590
0.851 0.750 0.090
0.917 0.750 0.759
0.153 0.250 0.575
0.347 0.750 0.075
0.653 0.250 0.925
0.847 0.750 0.425
```

2.
Below is an optimized crystal structure of Li3Cd, with properties calculated at the GGA-PBE level.

Values from the calculation:
- ΔE_f (eV/atom) = -0.1699
- space-group type = Immm, No. 71

POSCAR file:
```
Li3Cd
1.0
-2.050 2.142 4.152
2.050 -2.142 4.152
2.050 2.142 -4.152
Li Cd
3 1
Direct
0.000 0.000 0.000
0.249 0.749 0.500
0.751 0.251 0.500
0.500 0.500 0.000
```

3.
Below is an optimized crystal structure of LiCd4, with properties calculated at the GGA-PBE level.

Values from the calculation:
- ΔE_f (eV/atom) = -0.1125
- space-group type = I4/mmm, No. 139
- excess energy over the best structure of this formula in the dataset (meV per atom) = 0

POSCAR file:
```
LiCd4
1.0
-1.882 1.882 7.553
1.882 -1.882 7.553
1.882 1.882 -7.553
Li Cd
1 4
Direct
0.000 0.000 0.000
0.196 0.196 0.000
0.404 0.404 0.000
0.596 0.596 0.000
0.804 0.804 0.000
```

4.
Below is an optimized crystal structure of Li5Cd3, with properties calculated at the GGA-PBE level.

Values from the calculation:
- ΔE_f (eV/atom) = -0.1872
- space-group type = P-62m, No. 189
- excess energy over the best structure of this formula in the dataset (meV per atom) = 31

POSCAR file:
```
Li5Cd3
1.0
7.737 0.000 0.000
-3.869 6.700 0.000
0.000 0.000 2.987
Li Cd
5 3
Direct
0.000 0.245 0.000
0.245 0.000 0.000
0.333 0.667 0.000
0.667 0.333 0.000
0.755 0.755 0.000
0.000 0.613 0.500
0.387 0.387 0.500
0.613 0.000 0.500
```

5.
Below is an optimized crystal structure of Li3Cd, with properties calculated at the GGA-PBE level.

Values from the calculation:
- ΔE_f (eV/atom) = -0.1752
- space-group type = Fm-3m, No. 225

POSCAR file:
```
Li3Cd
1.0
0.000 3.322 3.322
3.322 0.000 3.322
3.322 3.322 0.000
Li Cd
3 1
Direct
0.000 0.000 0.000
0.250 0.250 0.250
0.750 0.750 0.750
0.500 0.500 0.500
```

6.
Below is an optimized crystal structure of Li2Cd, with properties calculated at the GGA-PBE level.

Values from the calculation:
- ΔE_f (eV/atom) = -0.2011
- space-group type = Immm, No. 71

POSCAR file:
```
Li2Cd
1.0
-1.506 2.046 4.499
1.506 -2.046 4.499
1.506 2.046 -4.499
Li Cd
2 1
Direct
0.163 0.163 0.000
0.837 0.837 0.000
0.500 0.500 0.000
```

7.
Below is an optimized crystal structure of Li3Cd, with properties calculated at the GGA-PBE level.

Values from the calculation:
- ΔE_f (eV/atom) = -0.1766
- space-group type = Pmmn, No. 59

POSCAR file:
```
Li3Cd
1.0
5.936 0.000 0.000
0.000 14.603 0.000
0.000 0.000 5.069
Li Cd
18 6
Direct
0.000 0.084 0.169
0.000 0.416 0.169
0.000 0.584 0.831
0.000 0.916 0.831
0.001 0.250 0.525
0.250 0.250 0.013
0.250 0.583 0.329
0.250 0.917 0.329
0.499 0.250 0.525
0.500 0.084 0.169
0.500 0.416 0.169
0.500 0.584 0.831
0.500 0.916 0.831
0.501 0.750 0.475
0.750 0.083 0.671
0.750 0.417 0.671
0.750 0.750 0.987
0.999 0.750 0.475
0.250 0.082 0.670
0.250 0.418 0.670
0.250 0.750 0.974
0.750 0.250 0.026
0.750 0.582 0.330
0.750 0.918 0.330
```

8.
Below is an optimized crystal structure of Li2Cd, with properties calculated at the GGA-PBE level.

Values from the calculation:
- ΔE_f (eV/atom) = -0.1924
- space-group type = P-3m1, No. 164

POSCAR file:
```
Li2Cd
1.0
4.640 0.000 0.000
-2.320 4.019 0.000
0.000 0.000 2.916
Li Cd
2 1
Direct
0.333 0.667 0.437
0.667 0.333 0.563
0.000 0.000 0.000
```

9.
Below is an optimized crystal structure of LiCd2, with properties calculated at the GGA-PBE level.

Values from the calculation:
- ΔE_f (eV/atom) = -0.1835
- space-group type = I4_1/amd, No. 141

POSCAR file:
```
LiCd2
1.0
-2.141 2.141 13.183
2.141 -2.141 13.183
2.141 2.141 -13.183
Li Cd
4 8
Direct
0.293 0.543 0.750
0.457 0.707 0.750
0.543 0.293 0.250
0.707 0.457 0.250
0.039 0.789 0.250
0.128 0.378 0.750
0.211 0.961 0.250
0.378 0.128 0.250
0.622 0.872 0.750
0.789 0.039 0.750
0.872 0.622 0.250
0.961 0.211 0.750
```

10.
Below is an optimized crystal structure of LiCd7, with properties calculated at the GGA-PBE level.

Values from the calculation:
- ΔE_f (eV/atom) = -0.0783
- space-group type = Fm-3m, No. 225

POSCAR file:
```
LiCd7
1.0
0.000 4.430 4.430
4.430 0.000 4.430
4.430 4.430 0.000
Li Cd
1 7
Direct
0.000 0.000 0.000
0.000 0.000 0.500
0.000 0.500 0.000
0.000 0.500 0.500
0.500 0.000 0.000
0.500 0.000 0.500
0.500 0.500 0.000
0.500 0.500 0.500
```